A geometry-optimized Zr4OsRu2 structure. Source: Alexandria, functional GGA-PBE.

Summary:
The crystal system is tetragonal. The total energy comes out at -9.546 eV/atom. The space group is I4/mmm, No. 139. The formation energy is -275 kJ/mol of formula units.

a = 5.6349 Å, b = 5.6349 Å, c = 5.6349 Å
α = 109.53°, β = 109.53°, γ = 109.35°
With the nearest neighbours (Å) after each atom.
Atoms (fractional coordinates):
Zr: 0.0000 0.0000 0.5000  4 Ru 2.82, 2 Os 2.82
Zr: 0.0000 0.5000 0.0000  4 Ru 2.82, 2 Os 2.82
Zr: 0.5000 0.0000 0.0000  4 Ru 2.82, 2 Os 2.82
Zr: 0.5000 0.5000 0.5000  4 Ru 2.82, 2 Os 2.82
Os: 0.0000 0.0000 0.0000  8 Zr 2.82
Ru: 0.0000 0.5000 0.5000  8 Zr 2.82
Ru: 0.5000 0.0000 0.5000  8 Zr 2.82

A geometry-optimized RbNaZn3 structure. Source: Alexandria, functional GGA-PBE.

Summary:
The crystal system is cubic. The total energy comes out at -0.541 eV/atom. The space group is Pm-3m, No. 221. The value obtained for the energy above the most stable polymorph in this dataset is 293 meV per atom. The formation energy is 328 kJ/mol of formula units.

a = 6.4056 Å, b = 6.4056 Å, c = 6.4056 Å
α = 90.00°, β = 90.00°, γ = 90.00°
With the nearest neighbours (Å) after each atom.
Atoms (fractional coordinates):
Rb: 0.0000 0.0000 0.0000  6 Zn 3.20
Na: 0.5000 0.5000 0.5000  12 Zn 4.53
Zn: 0.0000 0.0000 0.5000  2 Rb 3.20
Zn: 0.0000 0.5000 0.0000  2 Rb 3.20
Zn: 0.5000 0.0000 0.0000  2 Rb 3.20